Computed, not measured: a geometry-optimized K2LaIn structure at the PBE level of DFT.

Values from the calculation:
VASP energy = -2.3145 eV per atom
Energy relative to the elements = 0.60 eV/f.u.
Theoretical density = 3.43 Mg/m³
N(E_F) = 4.42 states/eV/cell

Cell: 6.553 4.953 4.953 Å, 90.00 90.00 90.00°
Fractional coordinates of all 4 atoms:
K 0.000 0.500 0.500
K 0.000 0.000 0.000
In 0.500 0.000 0.500
La 0.500 0.500 0.000